Compound: Ca2CoPt2
Source: the Alexandria database
Functional: PBE
Structure: optimized geometry

Values from the calculation:
Total DFT energy (no corrections): -5.13 eV per atom
Calculated volume: 202.31 Å³ per cell
Total magnetic moment: 0.30 μB/atom
Energy relative to the elements: -11.368 kcal/mol of atoms
D(E_F): 0.684 states/eV/atom

abc: 6.7088 6.7088 4.4951
angles: 90.00 90.00 90.00
Space group P4/mbm (No. 127)
Symmetry-distinct sites (fractional):
Ca 0.1737 0.3263 0.0000 [4 per cell]
Co 0.0000 0.0000 0.5000 [2 per cell]
Pt 0.1413 0.6413 0.5000 [4 per cell]